DFT (PBE-GGA) results for a relaxed structure of InBi2Rh.

Properties
Calculated density   10.5 g cm⁻³
Total DFT energy (no corrections)   -4.540 eV/atom
Energy relative to the elements   -0.077 eV/atom

```
data_InBi2Rh
_chemical_formula_sum 'In1 Bi2 Rh1'
_cell_length_a 3.408
_cell_length_b 3.408
_cell_length_c 8.679
_cell_angle_alpha 90.00
_cell_angle_beta 90.00
_cell_angle_gamma 90.00
_symmetry_space_group_name_H-M 'P 1'
_symmetry_Int_Tables_number 1
loop_
_symmetry_equiv_pos_as_xyz
'x,y,z'
loop_
_atom_site_label
_atom_site_type_symbol
_atom_site_fract_x
_atom_site_fract_y
_atom_site_fract_z
_atom_site_occupancy
Rh1 Rh 0.500 0.500 0.000 1
Bi1 Bi 0.000 0.000 0.806 1
Bi2 Bi 0.000 0.000 0.194 1
In1 In 0.500 0.500 0.500 1
```